[1]
A plane-wave DFT calculation with PBE was carried out for crystalline K2GaSn4 at its relaxed geometry.

The calculation puts the formation energy at 0.137 eV/atom.

The space group is I4/mmm (No. 139) and the conventional cell measures 5.512, 5.512 and 18.105 Å, with angles of 90.00, 90.00 and 90.00 degrees. Symmetry generates all atoms from K at (0.000, 0.000, 0.154), Ga at (0.000, 0.000, 0.500), Sn at (0.000, 0.000, 0.356) and Sn at (0.000, 0.500, 0.000).

[2]
A plane-wave DFT calculation with PBE was carried out for crystalline NaGeO3 at its relaxed geometry.

The calculation puts the uncorrected formation energy at -1.24 eV/atom.

The space group is R32 (No. 155, hexagonal axes) and the conventional cell measures 5.2211, 5.2211 and 15.8343 Å, with angles of 90.00, 90.00 and 120.00 degrees. Symmetry generates all atoms from Na at (0.0000, 0.0000, 0.1325), Ge at (0.0000, 0.0000, 0.3378) and O at (0.0046, 0.4257, 0.9283).